1.
First-principles (PBE-GGA) data for an optimized crystal structure of TaNiSb2Te, as listed in the Alexandria database.

Computed properties:
Fermi-level density of states in states/eV/atom: 0.955
Magnetic moment in μB/f.u.: 1.4
ΔE_f (raw) in kJ/mol of formula units: 400.8
Excess energy over the best structure of this formula in the dataset in eV per atom: 0.0000

Cell and atoms, written as CIF:
```
data_TaNiSb2Te
_symmetry_space_group_name_H-M 'P 4/m m m'
_symmetry_Int_Tables_number 123
_symmetry_space_group_name_Hall '-P 4 2'
_cell_length_a 4.825
_cell_length_b 4.825
_cell_length_c 5.009
_cell_angle_alpha 90.00
_cell_angle_beta 90.00
_cell_angle_gamma 90.00
loop_
_atom_site_label
_atom_site_type_symbol
_atom_site_fract_x
_atom_site_fract_y
_atom_site_fract_z
Ta1 Ta 0.000 0.000 0.000
Ni1 Ni 0.500 0.500 0.500
Sb1 Sb 0.000 0.500 0.500
Te1 Te 0.500 0.500 0.000
```

***

2.
First-principles (PBE-GGA) data for an optimized crystal structure of KBe3Pt, as listed in the Alexandria database.

Computed properties:
Fermi-level density of states in states/eV/atom: 0.410
Magnetic moment in μB/f.u.: 0.0
Energy relative to the elements in meV per atom: 50
Excess energy over the best structure of this formula in the dataset in eV per atom: 0.0000

Cell and atoms, written as CIF:
```
data_KBe3Pt
_symmetry_space_group_name_H-M 'P m -3 m'
_symmetry_Int_Tables_number 221
_symmetry_space_group_name_Hall '-P 4 2 3'
_cell_length_a 4.460
_cell_length_b 4.460
_cell_length_c 4.460
_cell_angle_alpha 90.00
_cell_angle_beta 90.00
_cell_angle_gamma 90.00
loop_
_atom_site_label
_atom_site_type_symbol
_atom_site_fract_x
_atom_site_fract_y
_atom_site_fract_z
K1 K 0.000 0.000 0.000
Be1 Be 0.000 0.500 0.500
Pt1 Pt 0.500 0.500 0.500
```

***

3.
First-principles (PBE-GGA) data for an optimized crystal structure of SbTeOs2, as listed in the Alexandria database.

Computed properties:
Fermi-level density of states in states/eV/atom: 0.712
Magnetic moment in μB/f.u.: 0.0
ΔE_f (raw) in kJ/mol of formula units: 303.8
Excess energy over the best structure of this formula in the dataset in eV per atom: 0.3951

Cell and atoms, written as CIF:
```
data_SbTeOs2
_symmetry_space_group_name_H-M 'P 4/m m m'
_symmetry_Int_Tables_number 123
_symmetry_space_group_name_Hall '-P 4 2'
_cell_length_a 3.229
_cell_length_b 3.229
_cell_length_c 6.995
_cell_angle_alpha 90.00
_cell_angle_beta 90.00
_cell_angle_gamma 90.00
loop_
_atom_site_label
_atom_site_type_symbol
_atom_site_fract_x
_atom_site_fract_y
_atom_site_fract_z
Sb1 Sb 0.000 0.000 0.000
Te1 Te 0.000 0.000 0.500
Os1 Os 0.500 0.500 0.225
```

***

4.
First-principles (PBE-GGA) data for an optimized crystal structure of Ca3PdCl, as listed in the Alexandria database.

Computed properties:
Fermi-level density of states in states/eV/atom: 0.444
Magnetic moment in μB/f.u.: 0.0
ΔE_f (raw) in kJ/mol of formula units: -304.7
Excess energy over the best structure of this formula in the dataset in eV per atom: 0.0000

Cell and atoms, written as CIF:
```
data_Ca3PdCl
_symmetry_space_group_name_H-M 'P m -3 m'
_symmetry_Int_Tables_number 221
_symmetry_space_group_name_Hall '-P 4 2 3'
_cell_length_a 5.605
_cell_length_b 5.605
_cell_length_c 5.605
_cell_angle_alpha 90.00
_cell_angle_beta 90.00
_cell_angle_gamma 90.00
loop_
_atom_site_label
_atom_site_type_symbol
_atom_site_fract_x
_atom_site_fract_y
_atom_site_fract_z
Ca1 Ca 0.000 0.000 0.500
Pd1 Pd 0.000 0.000 0.000
Cl1 Cl 0.500 0.500 0.500
```